[1]
Material: LiHfTl
Method: DFT, PBE
State: optimized geometry

a = 3.2485 Å, b = 3.2485 Å, c = 44.5067 Å
α = 90.00°, β = 90.00°, γ = 120.00°
With the nearest neighbours (Å) after each atom.
Space group R3m (No. 160, hexagonal axes)
Symmetry-distinct sites (fractional):
Li  0.0000  0.0000  0.0000 [3 per cell]  6 Tl 2.97-3.07, 6 Li 3.25
Li  0.0000  0.0000  0.1097 [3 per cell]  3 Tl 3.09, 3 Hf 3.24, 6 Li 3.25
Hf  0.0000  0.0000  0.2223 [3 per cell]  9 Hf 3.03-3.25, 3 Tl 3.24
Hf  0.0000  0.0000  0.5023 [3 per cell]  9 Hf 3.03-3.25, 3 Li 3.24
Tl  0.0000  0.0000  0.6150 [3 per cell]  3 Li 2.97, 3 Hf 3.24, 6 Tl 3.25
Tl  0.0000  0.0000  0.7212 [3 per cell]  6 Li 3.07-3.09, 6 Tl 3.25

Computed properties:
D(E_F) = 13.3 states/eV per cell
distance to the lowest polymorph of the same formula = 0.106 eV per atom
final energy = -4.750 eV per atom


[2]
Material: LiHfTl
Method: DFT, PBE
State: optimized geometry

a = 3.1837 Å, b = 3.1837 Å, c = 12.0018 Å
α = 90.00°, β = 90.00°, γ = 90.00°
With the nearest neighbours (Å) after each atom.
Space group I4mm (No. 107)
Symmetry-distinct sites (fractional):
Li  0.0000  0.0000  0.0000 [2 per cell]  4 Tl 2.80, 4 Hf 3.06
Hf  0.0000  0.0000  0.3267 [2 per cell]  4 Li 3.06, 4 Tl 3.18, 4 Hf 3.18
Tl  0.0000  0.0000  0.6392 [2 per cell]  4 Li 2.80

Computed properties:
D(E_F) = 4.3 states/eV per cell
distance to the lowest polymorph of the same formula = 0.253 eV per atom
final energy = -4.603 eV per atom


[3]
Material: Li2HfTl2
Method: DFT, PBE
State: optimized geometry

a = 8.0583 Å, b = 8.0583 Å, c = 3.2170 Å
α = 90.00°, β = 90.00°, γ = 90.00°
With the nearest neighbours (Å) after each atom.
Space group P4/mbm (No. 127)
Symmetry-distinct sites (fractional):
Li  0.1535  0.3465  0.0000 [4 per cell]  6 Tl 2.77-2.92
Hf  0.0000  0.0000  0.5000 [2 per cell]  4 Tl 3.08, 2 Hf 3.22
Tl  0.1483  0.6483  0.5000 [4 per cell]  6 Li 2.77-2.92, 2 Hf 3.08

Computed properties:
D(E_F) = 7.0 states/eV per cell
distance to the lowest polymorph of the same formula = 0.046 eV per atom
final energy = -3.659 eV per atom


[4]
Material: LiHfTlZn
Method: DFT, PBE
State: optimized geometry

a = 6.7625 Å, b = 6.7625 Å, c = 6.7625 Å
α = 90.00°, β = 90.00°, γ = 90.00°
With the nearest neighbours (Å) after each atom.
Space group F-43m (No. 216)
Symmetry-distinct sites (fractional):
Li  0.0000  0.0000  0.0000 [4 per cell]  4 Tl 2.93, 4 Zn 2.93
Hf  0.0000  0.0000  0.5000 [4 per cell]  4 Tl 2.93, 4 Zn 2.93
Tl  0.2500  0.2500  0.2500 [4 per cell]  4 Hf 2.93, 4 Li 2.93
Zn  0.2500  0.2500  0.7500 [4 per cell]  4 Hf 2.93, 4 Li 2.93

Computed properties:
D(E_F) = 3.9 states/eV per cell
final energy = -3.884 eV per atom


[5]
Material: Li2HfV
Method: DFT, PBE
State: optimized geometry

a = 7.2985 Å, b = 7.2985 Å, c = 5.0265 Å
α = 90.00°, β = 90.00°, γ = 90.00°
With the nearest neighbours (Å) after each atom.
Space group I-42d (No. 122)
Symmetry-distinct sites (fractional):
Li  0.2284  0.2500  0.1250 [8 per cell]  2 Li 2.53, 2 V 2.55, 2 Hf 2.77
Hf  0.0000  0.0000  0.5000 [4 per cell]  2 V 2.51, 4 Li 2.77
V  0.0000  0.0000  0.0000 [4 per cell]  2 Hf 2.51, 4 Li 2.55

Computed properties:
D(E_F) = 10.9 states/eV per cell
distance to the lowest polymorph of the same formula = 0.093 eV per atom
final energy = -5.010 eV per atom


[6]
Material: LiHfV3
Method: DFT, PBE
State: optimized geometry

a = 4.7662 Å, b = 4.7662 Å, c = 4.7662 Å
α = 90.00°, β = 90.00°, γ = 90.00°
With the nearest neighbours (Å) after each atom.
Space group Pm-3m (No. 221)
Symmetry-distinct sites (fractional):
Li  0.0000  0.0000  0.0000 [1 per cell]  12 V 3.37
Hf  0.5000  0.5000  0.5000 [1 per cell]  6 V 2.38
V  0.0000  0.5000  0.5000 [3 per cell]  2 Hf 2.38

Computed properties:
D(E_F) = 6.7 states/eV per cell
distance to the lowest polymorph of the same formula = 0.609 eV per atom
final energy = -6.217 eV per atom


[7]
Material: Li2HfV
Method: DFT, PBE
State: optimized geometry

a = 6.2998 Å, b = 6.2998 Å, c = 6.2998 Å
α = 90.00°, β = 90.00°, γ = 90.00°
With the nearest neighbours (Å) after each atom.
Space group Fm-3m (No. 225)
Symmetry-distinct sites (fractional):
Li  0.2500  0.2500  0.2500 [8 per cell]  4 Hf 2.73, 4 V 2.73
Hf  0.0000  0.0000  0.0000 [4 per cell]  8 Li 2.73
V  0.0000  0.0000  0.5000 [4 per cell]  8 Li 2.73

Computed properties:
D(E_F) = 14.8 states/eV per cell
distance to the lowest polymorph of the same formula = 0.000 eV per atom
final energy = -5.102 eV per atom


[8]
Material: LiHfV3
Method: DFT, PBE
State: optimized geometry

a = 4.2639 Å, b = 4.2639 Å, c = 4.2639 Å
α = 90.00°, β = 90.00°, γ = 90.00°
With the nearest neighbours (Å) after each atom.
Space group Pm-3m (No. 221)
Symmetry-distinct sites (fractional):
Li  0.0000  0.0000  0.0000 [1 per cell]  6 V 2.13
Hf  0.5000  0.5000  0.5000 [1 per cell]  12 V 3.02
V  0.0000  0.0000  0.5000 [3 per cell]  2 Li 2.13

Computed properties:
D(E_F) = 9.6 states/eV per cell
distance to the lowest polymorph of the same formula = 0.000 eV per atom
final energy = -6.826 eV per atom